# TbCuSbAs

Crystalline TbCuSbAs at its relaxed geometry (PBE, the Open Quantum Materials Database).

Cell: 4.132 4.132 9.835 Å, 90.00 90.00 90.00°
Fractional positions:
Tb1 0.250 0.250 0.242
Tb2 0.750 0.750 0.758
Cu1 0.250 0.750 0.000
Cu2 0.750 0.250 0.000
Sb1 0.250 0.750 0.500
Sb2 0.750 0.250 0.500
As1 0.250 0.250 0.846
As2 0.750 0.750 0.154

As for the crystal system: tetragonal. The calculation puts the offset from the most stable computed form at 0 meV per atom.